Entry 1:
Compound: ZrSb2Cl
Source: the Alexandria database
Functional: GGA-PBE
Structure: optimized geometry

Summary:
Total moment: 0.00 μB per cell
ΔE to the lowest computed polymorph: 1.47 eV/f.u.
Formation energy (no corrections): -0.2897 eV per atom

Lattice parameters (Å, degrees): 5.7151 5.7151 5.7151 134.51 134.50 66.30
Closest atoms and distances in Å follow each position.
Element x y z (fractional)
Cl (0.2500, 0.7500, 0.5000)  4 Zr 3.13, 8 Sb 3.26
Sb (0.0000, 0.0000, 0.0000)  4 Sb 3.13, 4 Zr 3.26, 4 Cl 3.26
Sb (0.5000, 0.5000, 0.0000)  4 Sb 3.13, 4 Zr 3.26, 4 Cl 3.26
Zr (0.7500, 0.2500, 0.5000)  4 Cl 3.13, 8 Sb 3.26



Entry 2:
Compound: TiCo3B
Source: the Alexandria database
Functional: GGA-PBE
Structure: optimized geometry

Summary:
Total moment: 1.64 μB per cell
Formation energy: 1.89 eV per atom
ΔE to the lowest computed polymorph: 11.08 eV/f.u.

Lattice parameters (Å, degrees): 4.1969 4.1969 4.1969 90.00 90.00 90.00
Closest atoms and distances in Å follow each position.
Element x y z (fractional)
B (0.5000, 0.5000, 0.5000)  12 Co 2.97
Co (0.0000, 0.5000, 0.0000)  2 Ti 2.10
Co (0.0000, 0.0000, 0.5000)  2 Ti 2.10
Co (0.5000, 0.0000, 0.0000)  2 Ti 2.10
Ti (0.0000, 0.0000, 0.0000)  6 Co 2.10